1.
! K2Dy4Ag4S9 | the Open Quantum Materials Database | PBE | relaxed; values from VASP
&SYSTEM
  ibrav = 0, nat = 19, ntyp = 4
/
ATOMIC_SPECIES
Ag 107.87 Ag.upf
Dy 162.50 Dy.upf
K 39.10 K.upf
S 32.06 S.upf
ATOMIC_POSITIONS angstrom
Ag 5.943 0.000 0.757
Ag 9.359 0.000 4.217
Ag -0.550 0.000 11.139
Ag 2.865 0.000 14.599
Dy 2.755 0.000 1.654
Dy 2.537 0.000 6.824
Dy 6.272 0.000 8.531
Dy 6.054 0.000 13.701
K -1.028 0.000 4.212
K 9.837 0.000 11.144
S 11.695 0.000 1.141
S 8.118 0.000 2.000
S 3.681 0.000 4.301
S 7.895 0.000 6.253
S -2.747 0.000 7.678
S 0.913 0.000 9.102
S 5.128 0.000 11.055
S 0.691 0.000 13.355
S -2.887 0.000 14.214
CELL_PARAMETERS angstrom
7.152 -2.050 0.000
7.152 2.050 0.000
-5.495 0.000 15.356
! Total energy in eV per formula unit: -94.8


2.
! SrGa2PtAu | the Open Quantum Materials Database | PBE | relaxed; values from VASP
&SYSTEM
  ibrav = 0, nat = 10, ntyp = 4
/
ATOMIC_SPECIES
Au 196.97 Au.upf
Ga 69.72 Ga.upf
Pt 195.08 Pt.upf
Sr 87.62 Sr.upf
ATOMIC_POSITIONS angstrom
Au 0.000 0.000 0.000
Au -0.772 -3.028 0.734
Ga -2.374 -0.910 0.765
Ga -2.198 1.615 4.349
Ga -2.970 -1.412 5.083
Ga -2.795 1.113 8.666
Pt -3.449 -0.121 2.891
Pt -1.720 0.324 6.541
Sr -0.097 -0.869 3.330
Sr -5.072 1.072 6.102
CELL_PARAMETERS angstrom
-3.568 -2.688 -0.805
2.024 -3.367 2.274
-4.397 3.231 8.697
! Relative energy among the computed polymorphs in meV/atom: 0
! Total energy in eV per formula unit: -20.8


3.
! CoTc2Os | the Open Quantum Materials Database | PBE | relaxed; values from VASP
&SYSTEM
  ibrav = 0, nat = 4, ntyp = 3
/
ATOMIC_SPECIES
Co 58.93 Co.upf
Os 190.23 Os.upf
Tc 98.00 Tc.upf
ATOMIC_POSITIONS angstrom
Co 1.506 1.506 1.506
Os 3.011 3.011 3.011
Tc 0.000 0.000 0.000
Tc 4.517 4.517 4.517
CELL_PARAMETERS angstrom
0.000 3.011 3.011
3.011 0.000 3.011
3.011 3.011 0.000
! Relative energy among the computed polymorphs in meV/atom: 391
! ΔE_f in eV per atom: 0.36
! Total energy in eV per formula unit: -37.6


4.
! Pr3TaO7 | the Open Quantum Materials Database | PBE | relaxed; values from VASP
&SYSTEM
  ibrav = 0, nat = 22, ntyp = 3
/
ATOMIC_SPECIES
O 16.00 O.upf
Pr 140.91 Pr.upf
Ta 180.95 Ta.upf
ATOMIC_POSITIONS angstrom
O 4.124 1.399 0.287
O 6.910 1.399 0.287
O 1.439 0.190 1.923
O 5.517 -0.539 1.923
O 9.595 0.190 1.923
O 4.124 1.399 3.559
O 6.910 1.399 3.559
O 4.124 -1.399 4.132
O 6.910 -1.399 4.132
O 1.439 -0.190 5.768
O 5.517 0.539 5.768
O 9.595 -0.190 5.768
O 4.124 -1.399 7.405
O 6.910 -1.399 7.405
Pr 0.000 0.000 0.000
Pr 3.031 -1.491 1.923
Pr 8.002 -1.491 1.923
Pr 0.000 0.000 3.846
Pr 3.031 1.491 5.768
Pr 8.002 1.491 5.768
Ta 5.517 0.000 0.000
Ta 5.517 0.000 3.846
CELL_PARAMETERS angstrom
5.517 -3.743 0.000
5.517 3.743 0.000
0.000 0.000 7.691
! Total energy in eV per formula unit: -96.8


5.
! ScFeCoSb | the Open Quantum Materials Database | PBE | relaxed; values from VASP
&SYSTEM
  ibrav = 0, nat = 4, ntyp = 4
/
ATOMIC_SPECIES
Co 58.93 Co.upf
Fe 55.84 Fe.upf
Sb 121.76 Sb.upf
Sc 44.96 Sc.upf
ATOMIC_POSITIONS angstrom
Co 1.150 -8.184 0.097
Fe 0.767 -5.456 0.065
Sb 0.383 -2.728 0.032
Sc 0.000 0.000 0.000
CELL_PARAMETERS angstrom
2.663 -3.352 -1.383
0.655 -3.586 2.636
-1.785 -3.974 -1.124
! Relative energy among the computed polymorphs in meV/atom: 296
! Total energy in eV per formula unit: -25.9


6.
! YScCd6 | the Open Quantum Materials Database | PBE | relaxed; values from VASP
&SYSTEM
  ibrav = 0, nat = 8, ntyp = 3
/
ATOMIC_SPECIES
Cd 112.41 Cd.upf
Sc 44.96 Sc.upf
Y 88.91 Y.upf
ATOMIC_POSITIONS angstrom
Cd 2.397 1.532 4.288
Cd 0.000 0.000 3.372
Cd 0.000 1.561 6.323
Cd 2.397 -1.532 4.288
Cd 2.397 0.000 7.142
Cd 0.000 -1.561 6.323
Sc 2.397 0.000 1.403
Y 0.000 0.000 9.192
CELL_PARAMETERS angstrom
4.794 0.000 0.000
0.000 3.550 5.291
0.000 -3.550 5.291
! Relative energy among the computed polymorphs in meV/atom: 0
! ΔE_f in eV per atom: -0.26
! Total energy in eV per formula unit: -20.3


7.
! Y10Al3Co | the Open Quantum Materials Database | PBE | relaxed; values from VASP
&SYSTEM
  ibrav = 0, nat = 28, ntyp = 3
/
ATOMIC_SPECIES
Al 26.98 Al.upf
Co 58.93 Co.upf
Y 88.91 Y.upf
ATOMIC_POSITIONS angstrom
Al 1.601 0.924 2.397
Al 7.925 0.924 2.397
Al 4.763 6.401 2.397
Al 0.000 1.849 7.192
Al -3.162 7.325 7.192
Al 3.162 7.325 7.192
Co 0.000 5.500 2.397
Co 4.763 2.750 7.192
Y 0.000 0.000 0.000
Y 0.000 3.447 0.599
Y -1.778 6.526 0.599
Y 1.778 6.526 0.599
Y 4.763 0.698 2.397
Y 2.985 3.776 2.397
Y 6.540 3.776 2.397
Y 0.000 3.447 4.195
Y -1.778 6.526 4.195
Y 1.778 6.526 4.195
Y 0.000 0.000 4.795
Y 2.985 1.723 5.394
Y 6.541 1.723 5.394
Y 4.763 4.803 5.394
Y -1.777 4.473 7.192
Y 1.777 4.473 7.192
Y 0.000 7.552 7.192
Y 2.985 1.723 8.990
Y 6.541 1.723 8.990
Y 4.763 4.803 8.990
CELL_PARAMETERS angstrom
9.526 0.000 0.000
-4.763 8.249 0.000
0.000 0.000 9.589
! Total energy in eV per formula unit: -86.6


8.
! ZrSc3Ge2C2 | the Open Quantum Materials Database | PBE | relaxed; values from VASP
&SYSTEM
  ibrav = 0, nat = 8, ntyp = 4
/
ATOMIC_SPECIES
C 12.01 C.upf
Ge 72.64 Ge.upf
Sc 44.96 Sc.upf
Zr 91.22 Zr.upf
ATOMIC_POSITIONS angstrom
C 3.676 5.970 1.831
C 5.837 12.522 2.636
Ge 1.085 3.291 0.404
Ge 3.114 9.699 3.120
Sc 0.245 0.999 2.052
Sc 1.642 5.235 2.572
Sc 2.554 7.746 0.951
Zr 3.948 11.974 1.470
CELL_PARAMETERS angstrom
-1.794 0.249 2.790
3.152 -1.056 0.138
4.340 13.163 1.616
! Total energy in eV per formula unit: -60.8


9.
! PrScTa | the Open Quantum Materials Database | PBE | relaxed; values from VASP
&SYSTEM
  ibrav = 0, nat = 3, ntyp = 3
/
ATOMIC_SPECIES
Pr 140.91 Pr.upf
Sc 44.96 Sc.upf
Ta 180.95 Ta.upf
ATOMIC_POSITIONS angstrom
Pr -1.887 2.044 1.141
Sc 0.000 0.000 0.000
Ta -5.662 6.133 3.423
CELL_PARAMETERS angstrom
-2.150 1.621 4.107
-0.814 4.804 0.614
-4.585 1.753 -0.156
! ΔE_f in eV per atom: 1.18
! Total energy in eV per formula unit: -19.4


10.
! CsTmLu | the Open Quantum Materials Database | PBE | relaxed; values from VASP
&SYSTEM
  ibrav = 0, nat = 3, ntyp = 3
/
ATOMIC_SPECIES
Cs 132.91 Cs.upf
Lu 174.97 Lu.upf
Tm 168.93 Tm.upf
ATOMIC_POSITIONS angstrom
Cs 2.089 2.089 2.089
Lu 6.266 6.266 6.266
Tm 0.000 0.000 0.000
CELL_PARAMETERS angstrom
0.000 4.177 4.177
4.177 0.000 4.177
4.177 4.177 0.000
! Relative energy among the computed polymorphs in meV/atom: 0
! Total energy in eV per formula unit: -5.9


11.
! PrAl2Ga2 | the Open Quantum Materials Database | PBE | relaxed; values from VASP
&SYSTEM
  ibrav = 0, nat = 5, ntyp = 3
/
ATOMIC_SPECIES
Al 26.98 Al.upf
Ga 69.72 Ga.upf
Pr 140.91 Pr.upf
ATOMIC_POSITIONS angstrom
Al 3.191 0.330 1.444
Al 1.478 2.777 1.575
Ga 3.574 2.500 0.026
Ga 5.642 3.947 0.041
Pr 0.000 0.000 0.000
CELL_PARAMETERS angstrom
6.321 0.777 -0.098
2.896 5.670 0.164
-4.548 -3.341 2.953
! Total energy in eV per formula unit: -20.6


12.
! Zn2IrPb | the Open Quantum Materials Database | PBE | relaxed; values from VASP
&SYSTEM
  ibrav = 0, nat = 4, ntyp = 3
/
ATOMIC_SPECIES
Ir 192.22 Ir.upf
Pb 207.20 Pb.upf
Zn 65.41 Zn.upf
ATOMIC_POSITIONS angstrom
Ir -0.884 0.258 2.699
Pb -1.769 0.516 5.398
Zn 0.000 0.000 0.000
Zn -2.653 0.773 8.097
CELL_PARAMETERS angstrom
-0.531 2.953 3.562
-3.645 -0.440 2.866
0.639 -1.482 4.369
! Total energy in eV per formula unit: -13.9


13.
! SmCl2 | the Open Quantum Materials Database | PBE | relaxed; values from VASP
&SYSTEM
  ibrav = 0, nat = 3, ntyp = 2
/
ATOMIC_SPECIES
Cl 35.45 Cl.upf
Sm 150.36 Sm.upf
ATOMIC_POSITIONS angstrom
Cl 0.000 0.000 4.962
Cl 0.000 0.000 8.153
Sm 0.000 0.000 0.000
CELL_PARAMETERS angstrom
-1.725 1.725 6.557
1.725 -1.725 6.557
1.725 1.725 -6.557
! Total energy in eV per formula unit: -14.3


14.
! SrCuAuS3 | the Open Quantum Materials Database | PBE | relaxed; values from VASP
&SYSTEM
  ibrav = 0, nat = 12, ntyp = 4
/
ATOMIC_SPECIES
Au 196.97 Au.upf
Cu 63.55 Cu.upf
S 32.06 S.upf
Sr 87.62 Sr.upf
ATOMIC_POSITIONS angstrom
Au 0.000 0.000 0.000
Au 3.704 0.228 3.092
Cu 1.630 -1.844 1.956
Cu 4.780 -1.195 5.681
S 0.885 -2.522 -0.185
S 4.594 -4.098 -1.428
S 3.913 -2.335 2.342
S 2.498 -0.703 5.296
S 1.816 1.059 9.066
S 5.525 -0.517 7.823
Sr -0.485 -0.236 4.372
Sr 6.896 -2.803 3.266
CELL_PARAMETERS angstrom
-4.194 1.063 4.946
3.196 -4.557 -3.493
7.409 0.456 6.185
! Total energy in eV per formula unit: -24.5


15.
! Gd3S2O | the Open Quantum Materials Database | PBE | relaxed; values from VASP
&SYSTEM
  ibrav = 0, nat = 6, ntyp = 3
/
ATOMIC_SPECIES
Gd 157.25 Gd.upf
O 16.00 O.upf
S 32.06 S.upf
ATOMIC_POSITIONS angstrom
Gd 1.867 1.078 1.313
Gd 0.000 0.000 4.756
Gd 0.000 2.156 8.200
O 0.000 0.000 0.000
S 0.000 2.156 3.023
S 1.867 1.078 6.489
CELL_PARAMETERS angstrom
3.734 0.000 0.000
-1.867 3.234 0.000
0.000 0.000 9.513
! Total energy in eV per formula unit: -40.5


16.
! MgBeInNi | the Open Quantum Materials Database | PBE | relaxed; values from VASP
&SYSTEM
  ibrav = 0, nat = 4, ntyp = 4
/
ATOMIC_SPECIES
Be 9.01 Be.upf
In 114.82 In.upf
Mg 24.30 Mg.upf
Ni 58.69 Ni.upf
ATOMIC_POSITIONS angstrom
Be 1.546 1.546 1.546
In 0.000 0.000 0.000
Mg 3.092 3.092 3.092
Ni 4.638 4.638 4.638
CELL_PARAMETERS angstrom
0.000 3.092 3.092
3.092 0.000 3.092
3.092 3.092 0.000
! Relative energy among the computed polymorphs in meV/atom: 0
! Total energy in eV per formula unit: -13.4


17.
! LuZr2Zn | the Open Quantum Materials Database | PBE | relaxed; values from VASP
&SYSTEM
  ibrav = 0, nat = 4, ntyp = 3
/
ATOMIC_SPECIES
Lu 174.97 Lu.upf
Zn 65.41 Zn.upf
Zr 91.22 Zr.upf
ATOMIC_POSITIONS angstrom
Lu -2.814 -1.088 0.403
Zn -5.627 -2.176 0.807
Zr 0.000 0.000 0.000
Zr -8.441 -3.265 1.210
CELL_PARAMETERS angstrom
-4.133 0.350 2.739
-4.449 -0.633 -2.123
-2.673 -4.070 0.997
! ΔE_f in eV per atom: 0.08
! Total energy in eV per formula unit: -22.6


18.
! KZrAsSe3 | the Open Quantum Materials Database | PBE | relaxed; values from VASP
&SYSTEM
  ibrav = 0, nat = 12, ntyp = 4
/
ATOMIC_SPECIES
As 74.92 As.upf
K 39.10 K.upf
Se 78.96 Se.upf
Zr 91.22 Zr.upf
ATOMIC_POSITIONS angstrom
As 1.950 -7.831 2.388
As 1.950 7.831 7.165
K 1.950 3.850 2.388
K 1.950 -3.850 7.165
Se 1.950 -6.323 0.286
Se 1.950 -1.763 2.388
Se 1.950 -6.323 4.490
Se 1.950 6.323 5.063
Se 1.950 1.763 7.165
Se 1.950 6.323 9.267
Zr 1.950 0.000 0.000
Zr 1.950 0.000 4.777
CELL_PARAMETERS angstrom
1.950 -8.312 0.000
1.950 8.312 0.000
0.000 0.000 9.553
! Total energy in eV per formula unit: -29.0


19.
! CuAgSnHg | the Open Quantum Materials Database | PBE | relaxed; values from VASP
&SYSTEM
  ibrav = 0, nat = 4, ntyp = 4
/
ATOMIC_SPECIES
Ag 107.87 Ag.upf
Cu 63.55 Cu.upf
Hg 200.59 Hg.upf
Sn 118.71 Sn.upf
ATOMIC_POSITIONS angstrom
Ag 1.703 1.703 1.703
Cu 5.109 5.109 5.109
Hg 3.406 3.406 3.406
Sn 0.000 0.000 0.000
CELL_PARAMETERS angstrom
0.000 3.406 3.406
3.406 0.000 3.406
3.406 3.406 0.000
! Relative energy among the computed polymorphs in meV/atom: 0
! Total energy in eV per formula unit: -10.1


20.
! Li2Cd2Ga2IrPd | the Open Quantum Materials Database | PBE | relaxed; values from VASP
&SYSTEM
  ibrav = 0, nat = 8, ntyp = 5
/
ATOMIC_SPECIES
Cd 112.41 Cd.upf
Ga 69.72 Ga.upf
Ir 192.22 Ir.upf
Li 6.94 Li.upf
Pd 106.42 Pd.upf
ATOMIC_POSITIONS angstrom
Cd 0.779 -2.635 0.064
Cd 4.880 -1.432 -1.049
Ga 1.959 -0.370 -1.799
Ga 3.700 -3.696 0.814
Ir 0.000 0.000 0.000
Li -0.087 -1.979 -2.461
Li 2.873 -1.044 0.738
Pd 2.786 -3.023 -1.723
CELL_PARAMETERS angstrom
-1.368 -4.207 -0.624
1.194 0.249 -4.298
5.746 -2.087 1.476
! Total energy in eV per formula unit: -28.7